[1]
Material: As5Cl
Method: DFT, PBE
State: relaxed

a = 5.779 Å, b = 5.779 Å, c = 5.779 Å
α = 60.00°, β = 60.00°, γ = 60.00°
Fractional positions:
As1 0.000 0.000 0.000
As2 0.173 0.609 0.609
As3 0.609 0.173 0.609
As4 0.609 0.609 0.173
As5 0.609 0.609 0.609
Cl1 0.250 0.250 0.250

Output
raw formation energy: 0.444 eV per atom
magnetic moment: 0.78 μB per formula unit
space-group type: F-43m, No. 216

[2]
Material: AsCl3
Method: DFT, PBE
State: relaxed

a = 7.328 Å, b = 7.328 Å, c = 7.328 Å
α = 31.18°, β = 31.18°, γ = 31.18°
Fractional positions:
As1 0.000 0.000 0.000
Cl1 0.270 0.270 0.270
Cl2 0.500 0.500 0.500
Cl3 0.730 0.730 0.730

Output
raw formation energy: -0.014 eV per atom
magnetic moment: 0.07 μB per formula unit
space-group type: R-3m, No. 166

[3]
Material: As4Cl5
Method: DFT, PBE
State: relaxed

a = 12.108 Å, b = 12.108 Å, c = 4.973 Å
α = 90.00°, β = 90.00°, γ = 120.00°
Fractional positions:
As1 0.000 0.000 0.000
As2 0.000 0.000 0.500
As3 0.000 0.491 0.250
As4 0.000 0.509 0.750
As5 0.491 0.000 0.250
As6 0.491 0.491 0.750
As7 0.509 0.000 0.750
As8 0.509 0.509 0.250
Cl1 0.000 0.310 0.250
Cl2 0.000 0.690 0.750
Cl3 0.310 0.000 0.250
Cl4 0.310 0.310 0.750
Cl5 0.333 0.667 0.000
Cl6 0.333 0.667 0.500
Cl7 0.667 0.333 0.000
Cl8 0.667 0.333 0.500
Cl9 0.690 0.000 0.750
Cl10 0.690 0.690 0.250

Output
raw formation energy: 0.028 eV per atom
magnetic moment: 0.35 μB per formula unit
space-group type: P6_3/mcm, No. 193

[4]
Material: AsCl2
Method: DFT, PBE
State: relaxed

a = 8.298 Å, b = 8.298 Å, c = 8.298 Å
α = 146.28°, β = 139.11°, γ = 54.01°
Fractional positions:
As1 0.252 0.002 0.250
As2 0.748 0.998 0.750
Cl1 0.103 0.853 0.250
Cl2 0.306 0.556 0.750
Cl3 0.694 0.444 0.250
Cl4 0.897 0.147 0.750

Output
raw formation energy: -0.462 eV per atom
magnetic moment: 0.00 μB per formula unit
space-group type: Imma, No. 74

[5]
Material: AsCl3
Method: DFT, PBE
State: relaxed

a = 4.580 Å, b = 10.548 Å, c = 12.509 Å
α = 90.00°, β = 90.00°, γ = 90.00°
Fractional positions:
As1 0.028 0.199 0.287
As2 0.472 0.801 0.787
As3 0.528 0.301 0.713
As4 0.972 0.699 0.213
Cl1 0.231 0.798 0.634
Cl2 0.236 0.647 0.871
Cl3 0.246 0.036 0.363
Cl4 0.254 0.964 0.863
Cl5 0.264 0.353 0.371
Cl6 0.269 0.202 0.134
Cl7 0.731 0.702 0.366
Cl8 0.736 0.853 0.129
Cl9 0.746 0.464 0.637
Cl10 0.754 0.536 0.137
Cl11 0.764 0.147 0.629
Cl12 0.769 0.298 0.866

Output
raw formation energy: -0.718 eV per atom
magnetic moment: 0.00 μB per formula unit
space-group type: P2_12_12_1, No. 19

[6]
Material: AsCl3
Method: DFT, PBE
State: relaxed

a = 9.333 Å, b = 9.333 Å, c = 9.333 Å
α = 24.33°, β = 24.33°, γ = 24.33°
Fractional positions:
As1 0.000 0.000 0.000
Cl1 0.382 0.382 0.382
Cl2 0.500 0.500 0.500
Cl3 0.618 0.618 0.618

Output
raw formation energy: 0.095 eV per atom
magnetic moment: 0.44 μB per formula unit
space-group type: R-3m, No. 166

[7]
Material: AsCl3
Method: DFT, PBE
State: relaxed

a = 4.202 Å, b = 4.202 Å, c = 6.379 Å
α = 90.00°, β = 90.00°, γ = 90.00°
Fractional positions:
As1 0.000 0.000 0.000
Cl1 0.000 0.500 0.203
Cl2 0.500 0.000 0.203
Cl3 0.500 0.500 0.782

Output
raw formation energy: -0.167 eV per atom
magnetic moment: 0.00 μB per formula unit
space-group type: P4mm, No. 99

[8]
Material: AsCl2
Method: DFT, PBE
State: relaxed

a = 6.805 Å, b = 8.872 Å, c = 3.604 Å
α = 90.00°, β = 90.00°, γ = 90.00°
Fractional positions:
As1 0.000 0.000 0.000
As2 0.500 0.500 0.500
Cl1 0.211 0.114 0.500
Cl2 0.289 0.614 0.000
Cl3 0.711 0.386 0.000
Cl4 0.789 0.886 0.500

Output
raw formation energy: -0.273 eV per atom
magnetic moment: 1.01 μB per formula unit
space-group type: Pnnm, No. 58

DFT total energy
In order: -0.2747, -0.1883, -0.2252, -0.2383, -0.2400, -0.1803, -0.1995, -0.2244
Unit: Ry/atom